Record 1
The following is a DFT calculation (PBE) of a geometry-optimized ReSI structure.

Cell lengths 3.695, 5.652, 8.334 Å; angles 71.01, 79.69, 83.07 degrees
Fractional coordinates of all 6 atoms:
Re (0.000, 0.000, 0.000)
Re (0.374, 0.339, 0.910)
S (0.121, 0.755, 0.809)
S (0.920, 0.285, 0.727)
I (0.324, 0.527, 0.174)
I (0.784, 0.951, 0.339)

Properties
- E_tot (eV/atom) = -5.88
- ΔE to the lowest computed polymorph (eV/f.u.) = 0.70
- total magnetization (μB/f.u.) = 0.0
- uncorrected formation energy (eV per atom) = 0.164

Record 2
The following is a DFT calculation (PBE) of a geometry-optimized ReSI structure.

Cell lengths 3.586, 7.223, 7.826 Å; angles 90.78, 102.59, 91.21 degrees
Fractional coordinates of all 6 atoms:
Re (0.000, 0.000, 0.000)
Re (0.408, 0.789, 0.826)
S (0.426, 0.106, 0.835)
S (0.987, 0.685, 0.001)
I (0.145, 0.200, 0.285)
I (0.777, 0.679, 0.560)

Properties
- E_tot (eV/atom) = -6.05
- ΔE to the lowest computed polymorph (eV/f.u.) = 0.18
- total magnetization (μB/f.u.) = 0.2
- uncorrected formation energy (eV per atom) = -0.008

Record 3
The following is a DFT calculation (PBE) of a geometry-optimized ReS4I structure.

Cell lengths 6.278, 7.388, 7.952 Å; angles 87.45, 86.06, 83.69 degrees
Fractional coordinates of all 12 atoms:
Re (0.211, 0.493, 0.004)
Re (0.789, 0.507, 0.996)
S (0.016, 0.616, 0.777)
S (0.167, 0.591, 0.287)
S (0.385, 0.257, 0.849)
S (0.453, 0.716, 0.933)
S (0.547, 0.284, 0.067)
S (0.615, 0.743, 0.151)
S (0.833, 0.409, 0.713)
S (0.984, 0.384, 0.223)
I (0.252, 0.998, 0.498)
I (0.748, 0.002, 0.502)

Properties
- E_tot (eV/atom) = -5.10
- total magnetization (μB/f.u.) = 0.0
- uncorrected formation energy (eV per atom) = -0.012

Record 4
The following is a DFT calculation (PBE) of a geometry-optimized ReSI structure.

Cell lengths 3.270, 6.740, 7.802 Å; angles 71.59, 78.79, 75.99 degrees
Fractional coordinates of all 6 atoms:
Re (0.157, 0.164, 0.025)
Re (0.843, 0.836, 0.975)
S (0.340, 0.028, 0.776)
S (0.660, 0.972, 0.224)
I (0.084, 0.552, 0.761)
I (0.916, 0.448, 0.239)

Properties
- E_tot (eV/atom) = -6.11
- ΔE to the lowest computed polymorph (eV/f.u.) = 0.00
- total magnetization (μB/f.u.) = 0.0
- uncorrected formation energy (eV per atom) = -0.069

Record 5
The following is a DFT calculation (PBE) of a geometry-optimized ReSI structure.

Cell lengths 7.983, 5.807, 6.922 Å; angles 90.00, 97.36, 90.00 degrees
Fractional coordinates of all 12 atoms:
Re (0.048, 0.134, 0.364)
Re (0.048, 0.366, 0.864)
Re (0.952, 0.634, 0.136)
Re (0.952, 0.866, 0.636)
S (0.138, 0.741, 0.912)
S (0.138, 0.759, 0.412)
S (0.862, 0.241, 0.588)
S (0.862, 0.259, 0.088)
I (0.305, 0.198, 0.126)
I (0.305, 0.302, 0.626)
I (0.695, 0.698, 0.374)
I (0.695, 0.802, 0.874)

Properties
- E_tot (eV/atom) = -6.02
- ΔE to the lowest computed polymorph (eV/f.u.) = 0.28
- total magnetization (μB/f.u.) = 0.0
- uncorrected formation energy (eV per atom) = 0.025

Record 6
The following is a DFT calculation (PBE) of a geometry-optimized Re2SI2 structure.

Cell lengths 6.207, 6.207, 5.572 Å; angles 90.00, 90.00, 90.00 degrees
Fractional coordinates of all 10 atoms:
Re (0.145, 0.355, 0.000)
Re (0.355, 0.855, 0.000)
Re (0.645, 0.145, 0.000)
Re (0.855, 0.645, 0.000)
S (0.000, 0.000, 0.000)
S (0.500, 0.500, 0.000)
I (0.181, 0.319, 0.500)
I (0.319, 0.819, 0.500)
I (0.681, 0.181, 0.500)
I (0.819, 0.681, 0.500)

Properties
- E_tot (eV/atom) = -5.65
- ΔE to the lowest computed polymorph (eV/f.u.) = 0.00
- total magnetization (μB/f.u.) = 0.0
- uncorrected formation energy (eV per atom) = 0.779

Record 7
The following is a DFT calculation (PBE) of a geometry-optimized ReSI3 structure.

Cell lengths 5.592, 5.592, 5.592 Å; angles 90.00, 90.00, 90.00 degrees
Fractional coordinates of all 5 atoms:
Re (0.000, 0.000, 0.000)
S (0.500, 0.500, 0.500)
I (0.000, 0.500, 0.500)
I (0.500, 0.000, 0.500)
I (0.500, 0.500, 0.000)

Properties
- E_tot (eV/atom) = -2.85
- ΔE to the lowest computed polymorph (eV/f.u.) = 2.03
- total magnetization (μB/f.u.) = 5.9
- uncorrected formation energy (eV per atom) = 1.400

Record 8
The following is a DFT calculation (PBE) of a geometry-optimized ReSI structure.

Cell lengths 3.192, 3.192, 8.103 Å; angles 100.11, 100.11, 59.95 degrees
Fractional coordinates of all 3 atoms:
Re (0.000, 0.000, 0.000)
S (0.612, 0.612, 0.818)
I (0.098, 0.098, 0.334)

Properties
- E_tot (eV/atom) = -5.90
- ΔE to the lowest computed polymorph (eV/f.u.) = 0.62
- total magnetization (μB/f.u.) = 0.0
- uncorrected formation energy (eV per atom) = 0.138